Entry 1:
Crystalline Ac2P3Rh6 at its relaxed geometry. Source: the Alexandria database, functional PBE.

**VASP energy**: -77.24 eV per formula unit
**Magnetic moment**: 0.00 μB/atom
**DOS(E_F)**: 0.6356 states/eV per atom

Unit cell a=7.2957 b=7.2957 c=4.3341 alpha=90.00 beta=90.00 gamma=120.00
Space group P-62m (No. 189)
One atom of each set of equivalent atoms:
Ac  0.3333  0.6667  0.0000 [2 per cell]
P  0.0000  0.3648  0.5000 [3 per cell]
Rh  0.0000  0.2147  0.0000 [3 per cell]
Rh  0.0000  0.7208  0.5000 [3 per cell]

=====

Entry 2:
Crystalline Ac2PRh6 at its relaxed geometry. Source: the Alexandria database, functional PBE.

**VASP energy**: -63.71 eV per formula unit
**Magnetic moment**: 0.00 μB/atom
**DOS(E_F)**: 1.0572 states/eV per atom

Unit cell a=8.715 b=8.715 c=8.715 alpha=90.00 beta=90.00 gamma=90.00
Space group Fm-3m (No. 225)
One atom of each set of equivalent atoms:
Ac  0.250  0.250  0.250 [8 per cell]
P  0.000  0.000  0.000 [4 per cell]
Rh  0.000  0.000  0.264 [24 per cell]

=====

Entry 3:
Crystalline AcPRh at its relaxed geometry. Source: the Alexandria database, functional PBE.

**Distance to the lowest polymorph of the same formula**: 0 meV/atom
**VASP energy**: -20.38 eV per formula unit
**Magnetic moment**: 0.00 μB/atom
**DOS(E_F)**: 0.2909 states/eV per atom

Unit cell a=6.445 b=6.445 c=6.445 alpha=90.00 beta=90.00 gamma=90.00
Space group P2_13 (No. 198)
One atom of each set of equivalent atoms:
Ac  0.147  0.147  0.147 [4 per cell]
P  0.077  0.577  0.923 [4 per cell]
Rh  0.162  0.338  0.662 [4 per cell]